A relaxed structure of Tb8PdRu5, computed with PBE.

a b c (Å): 7.4381 7.4381 7.4381
angles (deg): 109.23 109.23 109.96
Last column: nearest neighbours and their distance in Å.
Atoms (fractional coordinates):
Tb: 0.0176 0.1360 0.7599  3 Ru 2.78-3.06, 1 Pd 2.85
Tb: 0.2587 0.5008 0.6116  4 Ru 2.81-2.99
Tb: 0.3530 0.7413 0.2421  4 Ru 2.81-2.99
Tb: 0.3761 0.2577 0.2401  3 Ru 2.78-3.06, 1 Pd 2.85
Tb: 0.4992 0.1108 0.7579  4 Ru 2.81-2.99
Tb: 0.7423 0.9824 0.1184  3 Ru 2.78-3.06, 1 Pd 2.85
Tb: 0.8640 0.6239 0.8816  3 Ru 2.78-3.06, 1 Pd 2.85
Tb: 0.8892 0.6470 0.3884  4 Ru 2.81-2.99
Pd: 0.7500 0.2500 0.5000  4 Tb 2.85
Ru: 0.1420 0.0298 0.3913  5 Tb 2.78-2.99
Ru: 0.2493 0.8580 0.8878  5 Tb 2.78-2.99
Ru: 0.5000 0.5000 0.0000  8 Tb 2.86-3.06
Ru: 0.6385 0.7507 0.6087  5 Tb 2.78-2.99
Ru: 0.9702 0.3615 0.1122  5 Tb 2.78-2.99

Computed properties:
Energy   -6.621 eV per atom
Space group   I-4, No. 82